Record 1
First-principles (meta-GGA SCAN) data for a crystal of NaZr2P3O12 relaxed with PBEsol, as listed in the Alexandria database.

Output
The density of states at the Fermi level comes out at 0.00 states/eV/cell. The calculation puts the density at 3.17 g/cm3. The calculated total energy comes out at -12.54 eV/atom.

a = 9.133 Å, b = 9.133 Å, c = 9.133 Å
α = 58.01°, β = 58.01°, γ = 58.01°
Positions (direct):
Na  0.000  0.000  0.000
Na  0.500  0.500  0.500
Zr  0.145  0.145  0.145
Zr  0.355  0.355  0.355
Zr  0.645  0.645  0.645
Zr  0.855  0.855  0.855
P  0.041  0.750  0.459
P  0.250  0.541  0.959
P  0.459  0.041  0.750
P  0.541  0.959  0.250
P  0.750  0.459  0.041
P  0.959  0.250  0.541
O  0.003  0.793  0.620
O  0.063  0.916  0.279
O  0.084  0.721  0.937
O  0.120  0.293  0.503
O  0.207  0.380  0.997
O  0.221  0.584  0.437
O  0.279  0.063  0.916
O  0.293  0.503  0.120
O  0.380  0.997  0.207
O  0.416  0.563  0.779
O  0.437  0.221  0.584
O  0.497  0.880  0.707
O  0.503  0.120  0.293
O  0.563  0.779  0.416
O  0.584  0.437  0.221
O  0.620  0.003  0.793
O  0.707  0.497  0.880
O  0.721  0.937  0.084
O  0.779  0.416  0.563
O  0.793  0.620  0.003
O  0.880  0.707  0.497
O  0.916  0.279  0.063
O  0.937  0.084  0.721
O  0.997  0.207  0.380

***

Record 2
First-principles (meta-GGA SCAN) data for a crystal of NaPaO3 relaxed with PBEsol, as listed in the Alexandria database.

Output
The density of states at the Fermi level comes out at 0.00 states/eV/cell. The calculation puts the density at 6.24 g/cm3. The calculated total energy comes out at -27.74 eV/atom.

a = 4.316 Å, b = 4.316 Å, c = 4.316 Å
α = 90.00°, β = 90.00°, γ = 90.00°
Positions (direct):
Na  0.000  0.000  0.000
Pa  0.500  0.500  0.500
O  0.000  0.500  0.500
O  0.500  0.000  0.500
O  0.500  0.500  0.000

***

Record 3
First-principles (meta-GGA SCAN) data for a crystal of Rb3NaPbO4 relaxed with PBEsol, as listed in the Alexandria database.

Output
The density of states at the Fermi level comes out at 0.00 states/eV/cell. The calculation puts the density at 4.88 g/cm3. The calculated total energy comes out at -19.95 eV/atom.

a = 10.941 Å, b = 6.656 Å, c = 11.060 Å
α = 90.00°, β = 111.50°, γ = 90.00°
Positions (direct):
Rb  0.034  0.180  0.174
Rb  0.034  0.320  0.674
Rb  0.319  0.619  0.895
Rb  0.319  0.881  0.395
Rb  0.455  0.103  0.812
Rb  0.455  0.397  0.312
Rb  0.545  0.603  0.688
Rb  0.545  0.897  0.188
Rb  0.681  0.119  0.605
Rb  0.681  0.381  0.105
Rb  0.966  0.680  0.326
Rb  0.966  0.820  0.826
Na  0.125  0.624  0.109
Na  0.125  0.876  0.609
Na  0.875  0.124  0.391
Na  0.875  0.376  0.891
Pb  0.241  0.143  0.993
Pb  0.241  0.357  0.493
Pb  0.759  0.643  0.507
Pb  0.759  0.857  0.007
O  0.105  0.122  0.454
O  0.105  0.378  0.954
O  0.203  0.002  0.814
O  0.203  0.498  0.314
O  0.229  0.572  0.624
O  0.229  0.928  0.124
O  0.431  0.239  0.555
O  0.431  0.261  0.055
O  0.569  0.739  0.945
O  0.569  0.761  0.445
O  0.771  0.072  0.876
O  0.771  0.428  0.376
O  0.797  0.502  0.686
O  0.797  0.998  0.186
O  0.895  0.622  0.046
O  0.895  0.878  0.546

***

Record 4
First-principles (meta-GGA SCAN) data for a crystal of NaV3Pb4O12 relaxed with PBEsol, as listed in the Alexandria database.

Output
The density of states at the Fermi level comes out at 0.00 states/eV/cell. The calculation puts the density at 6.33 g/cm3. The calculated total energy comes out at -23.82 eV/atom.

a = 9.960 Å, b = 9.960 Å, c = 7.307 Å
α = 90.00°, β = 90.00°, γ = 120.00°
Positions (direct):
Na  0.333  0.667  0.000
Na  0.667  0.333  0.500
V  0.019  0.396  0.754
V  0.376  0.981  0.754
V  0.396  0.376  0.254
V  0.604  0.624  0.754
V  0.624  0.019  0.254
V  0.981  0.604  0.254
Pb  0.000  0.251  0.260
Pb  0.000  0.749  0.760
Pb  0.251  0.000  0.260
Pb  0.251  0.251  0.760
Pb  0.333  0.667  0.480
Pb  0.667  0.333  0.980
Pb  0.749  0.000  0.760
Pb  0.749  0.749  0.260
O  0.075  0.324  0.933
O  0.095  0.356  0.565
O  0.105  0.595  0.772
O  0.179  0.697  0.245
O  0.249  0.925  0.933
O  0.261  0.905  0.565
O  0.303  0.482  0.245
O  0.324  0.249  0.433
O  0.356  0.261  0.065
O  0.405  0.509  0.772
O  0.482  0.179  0.745
O  0.491  0.895  0.772
O  0.509  0.105  0.272
O  0.518  0.821  0.245
O  0.595  0.491  0.272
O  0.644  0.739  0.565
O  0.676  0.751  0.933
O  0.697  0.518  0.745
O  0.739  0.095  0.065
O  0.751  0.075  0.433
O  0.821  0.303  0.745
O  0.895  0.405  0.272
O  0.905  0.644  0.065
O  0.925  0.676  0.433

***

Record 5
First-principles (meta-GGA SCAN) data for a crystal of NaZnPb2O relaxed with PBEsol, as listed in the Alexandria database.

Output
The density of states at the Fermi level comes out at 2.65 states/eV/cell. The calculation puts the density at 7.31 g/cm3. The calculated total energy comes out at -34.77 eV/atom.

a = 5.496 Å, b = 5.496 Å, c = 3.903 Å
α = 90.00°, β = 90.00°, γ = 90.00°
Positions (direct):
Na  0.000  0.000  0.000
Zn  0.500  0.500  0.500
Pb  0.000  0.500  0.000
Pb  0.500  0.000  0.000
O  0.000  0.000  0.500

***

Record 6
First-principles (meta-GGA SCAN) data for a crystal of Na2PdO6 relaxed with PBEsol, as listed in the Alexandria database.

Output
The calculation puts the density at 3.77 g/cm3. The calculated total energy comes out at -9.01 eV/atom.

a = 5.883 Å, b = 5.883 Å, c = 3.651 Å
α = 90.00°, β = 90.00°, γ = 120.00°
Positions (direct):
Na  0.333  0.667  0.000
Na  0.667  0.333  0.000
Pd  0.000  0.000  0.000
O  0.000  0.272  0.697
O  0.000  0.728  0.303
O  0.272  0.000  0.697
O  0.272  0.272  0.303
O  0.728  0.000  0.303
O  0.728  0.728  0.697

***

Record 7
First-principles (meta-GGA SCAN) data for a crystal of NaYPd6O8 relaxed with PBEsol, as listed in the Alexandria database.

Output
The density of states at the Fermi level comes out at 2.50 states/eV/cell. The calculation puts the density at 7.79 g/cm3. The calculated total energy comes out at -18.73 eV/atom.

a = 5.721 Å, b = 5.721 Å, c = 5.721 Å
α = 90.00°, β = 90.00°, γ = 90.00°
Positions (direct):
Na  0.000  0.000  0.000
Y  0.500  0.500  0.500
Pd  0.000  0.249  0.500
Pd  0.000  0.751  0.500
Pd  0.249  0.500  0.000
Pd  0.500  0.000  0.249
Pd  0.500  0.000  0.751
Pd  0.751  0.500  0.000
O  0.258  0.258  0.258
O  0.258  0.258  0.742
O  0.258  0.742  0.258
O  0.258  0.742  0.742
O  0.742  0.258  0.258
O  0.742  0.258  0.742
O  0.742  0.742  0.258
O  0.742  0.742  0.742

***

Record 8
First-principles (meta-GGA SCAN) data for a crystal of NaPr2RuO6 relaxed with PBEsol, as listed in the Alexandria database.

Output
The calculation puts the density at 6.48 g/cm3. The calculated total energy comes out at -18.93 eV/atom.

a = 5.492 Å, b = 5.933 Å, c = 9.550 Å
α = 90.00°, β = 124.18°, γ = 90.00°
Positions (direct):
Na  0.000  0.000  0.000
Na  0.000  0.500  0.500
Pr  0.226  0.073  0.747
Pr  0.226  0.427  0.247
Pr  0.774  0.573  0.753
Pr  0.774  0.927  0.253
Ru  0.500  0.000  0.500
Ru  0.500  0.500  0.000
O  0.158  0.174  0.450
O  0.158  0.326  0.950
O  0.269  0.720  0.435
O  0.269  0.780  0.935
O  0.383  0.045  0.268
O  0.383  0.455  0.768
O  0.617  0.545  0.232
O  0.617  0.955  0.732
O  0.731  0.220  0.065
O  0.731  0.280  0.565
O  0.842  0.674  0.050
O  0.842  0.826  0.550